VASP calculation (GGA-PBE) on crystalline TcNiTe2Br at its relaxed geometry.

Calculated values
Space group: P4/mmm
Formation energy from raw total energies (eV per formula unit): 4.43

Cell lengths 5.207, 5.207, 5.070 Å; angles 90.00, 90.00, 90.00 degrees
Fractional positions:
Tc: 0.000 0.000 0.000
Ni: 0.500 0.500 0.500
Te: 0.000 0.500 0.000
Te: 0.500 0.000 0.000
Br: 0.000 0.000 0.500